{
  "formula": "Te3AsOs",
  "functional": "PBE",
  "state": "relaxed",
  "de_polymorph_mev_per_atom": 0,
  "e_form_raw_ev_per_atom": 0.863,
  "total_energy_ev_per_atom": -4.198,
  "sg": "Pm-3m (221)",
  "m_tot_mub_per_fu": 0.0,
  "lattice_angstrom": [[-2.523, -3.935, -2.265], [3.391, -3.356, 2.052], [-3.019, -0.482, 4.199]],
  "species": ["As", "Te", "Te", "Te", "Os"],
  "frac_coords": [[0.500, 0.500, 0.500], [0.000, 0.500, 0.000], [0.000, 0.000, 0.500], [0.500, 0.000, 0.000], [0.000, 0.000, 0.000]]
}


{
  "formula": "TeAs2Os",
  "functional": "PBE",
  "state": "relaxed",
  "e_form_raw_ev_per_atom": 0.127,
  "total_energy_ev_per_atom": -5.791,
  "sg": "P4/mmm (123)",
  "m_tot_mub_per_fu": 0.0,
  "lattice_angstrom": [[-2.707, 0.736, 1.001], [0.994, -0.157, 2.803], [2.595, 10.031, -0.359]],
  "species": ["As", "As", "Te", "Os"],
  "frac_coords": [[0.000, 0.000, 0.094], [0.000, 0.000, 0.406], [0.500, 0.500, 0.750], [0.500, 0.500, 0.250]]
}


{
  "formula": "TeAsOs",
  "functional": "PBE",
  "state": "relaxed",
  "e_form_raw_ev_per_atom": 0.349,
  "total_energy_ev_per_atom": -5.991,
  "sg": "P3m1 (156)",
  "m_tot_mub_per_fu": 0.0,
  "lattice_angstrom": [[3.185, 0.000, 0.000], [-1.592, 2.758, 0.000], [0.000, 0.000, 7.735]],
  "species": ["As", "Te", "Os"],
  "frac_coords": [[0.000, 0.000, 0.093], [0.333, 0.667, 0.594], [0.667, 0.333, 0.314]]
}


{
  "formula": "TeAsOs2",
  "functional": "PBE",
  "state": "relaxed",
  "de_polymorph_mev_per_atom": 131,
  "e_form_raw_ev_per_atom": 0.487,
  "total_energy_ev_per_atom": -7.076,
  "sg": "Pmm2 (25)",
  "m_tot_mub_per_fu": 0.0,
  "lattice_angstrom": [[2.926, 0.000, 0.000], [0.000, 3.940, 0.000], [0.000, 0.000, 7.088]],
  "species": ["As", "Te", "Os", "Os"],
  "frac_coords": [[0.500, 0.500, 0.852], [0.000, 0.000, 0.411], [0.000, 0.000, 0.036], [0.500, 0.500, 0.201]]
}


{
  "formula": "TeAsOs",
  "functional": "PBE",
  "state": "relaxed",
  "e_form_raw_ev_per_atom": 0.227,
  "total_energy_ev_per_atom": -6.114,
  "sg": "P3m1 (156)",
  "m_tot_mub_per_fu": 0.0,
  "lattice_angstrom": [[3.870, 0.000, 0.000], [-1.935, 3.352, 0.000], [0.000, 0.000, 5.676]],
  "species": ["As", "Te", "Os"],
  "frac_coords": [[0.000, 0.000, 0.132], [0.333, 0.667, 0.578], [0.667, 0.333, 0.290]]
}


{
  "formula": "TeAsOs2",
  "functional": "PBE",
  "state": "relaxed",
  "de_polymorph_mev_per_atom": 133,
  "e_form_raw_ev_per_atom": 0.489,
  "total_energy_ev_per_atom": -7.073,
  "sg": "R3m (160)",
  "m_tot_mub_per_fu": 0.0,
  "lattice_angstrom": [[10.025, 0.007, 0.004], [9.566, 2.997, 0.004], [9.566, 1.467, 2.614]],
  "species": ["As", "Te", "Os", "Os"],
  "frac_coords": [[0.725, 0.725, 0.725], [0.520, 0.520, 0.520], [0.997, 0.997, 0.997], [0.258, 0.258, 0.258]]
}


{
  "formula": "TeAsOs2",
  "functional": "PBE",
  "state": "relaxed",
  "de_polymorph_mev_per_atom": 281,
  "e_form_raw_ev_per_atom": 0.638,
  "total_energy_ev_per_atom": -6.925,
  "sg": "P2/m (10)",
  "m_tot_mub_per_fu": 0.0,
  "lattice_angstrom": [[3.094, 0.000, 0.000], [0.000, 5.329, -0.013], [0.000, 3.548, 4.049]],
  "species": ["As", "Te", "Os", "Os"],
  "frac_coords": [[0.000, 0.000, 0.500], [0.500, 0.500, 0.500], [0.000, 0.000, 0.000], [0.500, 0.500, 0.000]]
}


{
  "formula": "TeAs2Os",
  "functional": "PBE",
  "state": "relaxed",
  "e_form_raw_ev_per_atom": 0.381,
  "total_energy_ev_per_atom": -5.537,
  "sg": "Imm2 (44)",
  "m_tot_mub_per_fu": 0.0,
  "lattice_angstrom": [[6.619, 0.001, -0.005], [4.380, 4.963, 0.005], [-5.119, -3.324, 2.560]],
  "species": ["As", "As", "Te", "Os"],
  "frac_coords": [[0.977, 0.977, 0.000], [0.334, 0.834, 0.500], [0.689, 0.189, 0.500], [0.501, 0.501, 0.000]]
}


{
  "formula": "TeAsOs",
  "functional": "PBE",
  "state": "relaxed",
  "e_form_raw_ev_per_atom": 0.331,
  "total_energy_ev_per_atom": -6.009,
  "sg": "I4mm (107)",
  "m_tot_mub_per_fu": 0.0,
  "lattice_angstrom": [[-1.789, -2.671, 5.918], [1.120, -5.299, 4.002], [1.956, 5.067, -3.981]],
  "species": ["As", "Te", "Os"],
  "frac_coords": [[0.959, 0.959, 0.000], [0.694, 0.694, 0.000], [0.347, 0.347, 0.000]]
}


{
  "formula": "Te2AsOs",
  "functional": "PBE",
  "state": "relaxed",
  "e_form_raw_ev_per_atom": 0.747,
  "total_energy_ev_per_atom": -4.794,
  "sg": "Cmmm (65)",
  "m_tot_mub_per_fu": 0.0,
  "lattice_angstrom": [[3.094, 0.020, 0.000], [-1.453, 2.732, 0.000], [0.000, 0.000, 10.309]],
  "species": ["As", "Te", "Te", "Os"],
  "frac_coords": [[0.500, 0.500, 0.250], [0.000, 0.000, 0.964], [0.000, 0.000, 0.536], [0.500, 0.500, 0.750]]
}


{
  "formula": "TeAsOs2",
  "functional": "PBE",
  "state": "relaxed",
  "de_polymorph_mev_per_atom": 723,
  "e_form_raw_ev_per_atom": 1.080,
  "total_energy_ev_per_atom": -6.483,
  "sg": "Pmmm (47)",
  "m_tot_mub_per_fu": 0.0,
  "lattice_angstrom": [[2.990, 0.000, 0.000], [0.000, 5.057, 0.000], [0.000, 0.000, 4.572]],
  "species": ["As", "Te", "Os", "Os"],
  "frac_coords": [[0.000, 0.500, 0.500], [0.500, 0.000, 0.500], [0.000, 0.000, 0.000], [0.500, 0.500, 0.000]]
}


{
  "formula": "Te3AsOs",
  "functional": "PBE",
  "state": "relaxed",
  "de_polymorph_mev_per_atom": 812,
  "e_form_raw_ev_per_atom": 1.675,
  "total_energy_ev_per_atom": -3.386,
  "sg": "Pm-3m (221)",
  "m_tot_mub_per_fu": 0.0,
  "lattice_angstrom": [[-4.577, 2.220, -1.108], [-2.183, -2.498, 4.013], [1.180, 3.992, 3.127]],
  "species": ["As", "Te", "Te", "Te", "Os"],
  "frac_coords": [[0.000, 0.000, 0.000], [0.000, 0.500, 0.000], [0.000, 0.000, 0.500], [0.500, 0.000, 0.000], [0.500, 0.500, 0.500]]
}


{
  "formula": "TeAsOs2",
  "functional": "PBE",
  "state": "relaxed",
  "de_polymorph_mev_per_atom": 268,
  "e_form_raw_ev_per_atom": 0.625,
  "total_energy_ev_per_atom": -6.938,
  "sg": "R-3m (166)",
  "m_tot_mub_per_fu": 0.0,
  "lattice_angstrom": [[8.159, -0.026, -0.016], [7.572, 3.037, -0.016], [7.572, 1.449, 2.669]],
  "species": ["As", "Te", "Os", "Os"],
  "frac_coords": [[0.750, 0.750, 0.750], [0.250, 0.250, 0.250], [0.005, 0.005, 0.005], [0.495, 0.495, 0.495]]
}


{
  "formula": "TeAsOs2",
  "functional": "PBE",
  "state": "relaxed",
  "de_polymorph_mev_per_atom": 405,
  "e_form_raw_ev_per_atom": 0.761,
  "total_energy_ev_per_atom": -6.801,
  "sg": "Fm-3m (225)",
  "m_tot_mub_per_fu": 0.0,
  "lattice_angstrom": [[-2.653, 3.060, 2.075], [-1.100, 3.871, -2.124], [-4.262, 0.670, -1.447]],
  "species": ["As", "Te", "Os", "Os"],
  "frac_coords": [[0.000, 0.000, 0.000], [0.500, 0.500, 0.500], [0.250, 0.250, 0.250], [0.750, 0.750, 0.750]]
}


{
  "formula": "TeAsOs",
  "functional": "PBE",
  "state": "relaxed",
  "e_form_raw_ev_per_atom": 0.166,
  "total_energy_ev_per_atom": -6.174,
  "sg": "F-43m (216)",
  "m_tot_mub_per_fu": 0.0,
  "lattice_angstrom": [[-3.184, -2.704, -1.448], [0.987, -4.145, -1.179], [-1.333, -3.388, 2.508]],
  "species": ["As", "Te", "Os"],
  "frac_coords": [[0.500, 0.500, 0.500], [0.000, 0.000, 0.000], [0.750, 0.750, 0.750]]
}


{
  "formula": "TeAsOs2",
  "functional": "PBE",
  "state": "relaxed",
  "de_polymorph_mev_per_atom": 420,
  "e_form_raw_ev_per_atom": 0.776,
  "total_energy_ev_per_atom": -6.787,
  "sg": "P4/mmm (123)",
  "m_tot_mub_per_fu": 0.0,
  "lattice_angstrom": [[4.529, 0.015, 0.000], [-0.016, 4.529, 0.000], [0.000, 0.000, 3.263]],
  "species": ["As", "Te", "Os", "Os"],
  "frac_coords": [[0.000, 0.500, 0.500], [0.500, 0.000, 0.500], [0.000, 0.000, 0.000], [0.500, 0.500, 0.000]]
}